Entry 1:
VASP calculation (PBE) on crystalline AlZnInS4 at its relaxed geometry.

It has space group I-4 (No. 82), with a = 5.421 Å, b = 5.421 Å, c = 10.943 Å, α = 90.00°, β = 90.00° and γ = 90.00°. The inequivalent atoms are Al at (0.000, 0.000, 0.000), Zn at (0.000, 0.500, 0.750), In at (0.000, 0.000, 0.500) and S at (0.226, 0.238, 0.130).

For the electronic total energy, the calculation gives -4.28 eV per atom. Its raw formation energy is -0.818 eV/atom.

Entry 2:
VASP calculation (PBE) on crystalline Sr3Ca12Hg at its relaxed geometry.

It has space group P4/mmm (No. 123), with a = 5.639 Å, b = 5.639 Å, c = 20.990 Å, α = 90.00°, β = 90.00° and γ = 90.00°. The inequivalent atoms are Sr at (0.000, 0.000, 0.000), Sr at (0.000, 0.000, 0.267), Ca at (0.000, 0.500, 0.134), Ca at (0.000, 0.500, 0.403), Ca at (0.500, 0.500, 0.000), Ca at (0.500, 0.500, 0.271), Ca at (0.500, 0.500, 0.500) and Hg at (0.000, 0.000, 0.500).

For the electronic total energy, the calculation gives -1.86 eV per atom. The formation energy is -0.03 eV per atom.

Entry 3:
VASP calculation (PBE) on crystalline BaNiW2Se8 at its relaxed geometry.

It has space group R-3 (No. 148, hexagonal axes), with a = 6.3528 Å, b = 6.3528 Å, c = 27.7966 Å, α = 90.00°, β = 90.00° and γ = 120.00°. The inequivalent atoms are Ba at (0.0000, 0.0000, 0.0000), Ni at (0.0000, 0.0000, 0.5000), W at (0.0000, 0.0000, 0.2470), Se at (0.0000, 0.0000, 0.3314) and Se at (0.0061, 0.3532, 0.2205).

For the electronic total energy, the calculation gives -5.59 eV per atom. Its raw formation energy is -0.462 eV/atom.

Entry 4:
VASP calculation (PBE) on crystalline Ce2Sm7Ho2 at its relaxed geometry.

It has space group C2/m (No. 12), with a = 11.163 Å, b = 11.693 Å, c = 6.049 Å, α = 90.00°, β = 112.08° and γ = 90.00°. The inequivalent atoms are Ce at (0.000, 0.216, 0.000), Sm at (0.000, 0.000, 0.500), Sm at (0.090, 0.500, 0.305), Sm at (0.173, 0.241, 0.679) and Ho at (0.226, 0.000, 0.082).

For the electronic total energy, the calculation gives -4.72 eV per atom. The formation energy is 0.20 eV per atom.

Entry 5:
VASP calculation (PBE) on crystalline Sc8P3Se3N at its relaxed geometry.

It has space group R-3m (No. 166, hexagonal axes), with a = 7.4235 Å, b = 7.4235 Å, c = 18.7873 Å, α = 90.00°, β = 90.00° and γ = 120.00°. The inequivalent atoms are Sc at (0.0000, 0.0000, 0.2407), Sc at (0.0352, 0.5176, 0.2349), P at (0.0000, 0.5000, 0.5000), Se at (0.0000, 0.5000, 0.0000) and N at (0.0000, 0.0000, 0.5000).

For the electronic total energy, the calculation gives -7.20 eV per atom. Its raw formation energy is -1.486 eV/atom.

Entry 6:
VASP calculation (PBE) on crystalline SiWS2N at its relaxed geometry.

It has space group P4/mmm (No. 123), with a = 4.817 Å, b = 4.817 Å, c = 3.804 Å, α = 90.00°, β = 90.00° and γ = 90.00°. The inequivalent atoms are Si at (0.000, 0.000, 0.000), W at (0.500, 0.500, 0.500), S at (0.000, 0.500, 0.500) and N at (0.500, 0.500, 0.000).

For the electronic total energy, the calculation gives -6.65 eV per atom. As for the polymorph energy (0 for the lowest one): 0.000 eV/atom. Its raw formation energy is 0.338 eV/atom.

Entry 7:
VASP calculation (PBE) on crystalline CuGeSe at its relaxed geometry.

It has space group C2/m (No. 12), with a = 12.966 Å, b = 5.057 Å, c = 3.722 Å, α = 90.00°, β = 106.63° and γ = 90.00°. The inequivalent atoms are Cu at (0.077, 0.000, 0.326), Ge at (0.247, 0.000, 0.997) and Se at (0.110, 0.500, 0.360).

For the electronic total energy, the calculation gives -3.96 eV per atom. Its raw formation energy is 0.102 eV/atom.

Entry 8:
VASP calculation (PBE) on crystalline ZnSn2Sb4 at its relaxed geometry.

It has space group I4/mmm (No. 139), with a = 5.247 Å, b = 5.247 Å, c = 16.934 Å, α = 90.00°, β = 90.00° and γ = 90.00°. The inequivalent atoms are Zn at (0.000, 0.000, 0.000), Sn at (0.000, 0.000, 0.402), Sb at (0.000, 0.000, 0.235) and Sb at (0.000, 0.500, 0.000).

For the electronic total energy, the calculation gives -3.35 eV per atom. Its raw formation energy is 0.333 eV/atom.

Entry 9:
VASP calculation (PBE) on crystalline Er3RuCl3 at its relaxed geometry.

It has space group R-3 (No. 148, hexagonal axes), with a = 6.6238 Å, b = 6.6238 Å, c = 31.4651 Å, α = 90.00°, β = 90.00° and γ = 120.00°. The inequivalent atoms are Er at (0.0000, 0.3458, 0.0513), Ru at (0.0000, 0.0000, 0.3333) and Cl at (0.0000, 0.3276, 0.8938).

For the electronic total energy, the calculation gives -5.43 eV per atom. Its raw formation energy is -1.358 eV/atom.

Entry 10:
VASP calculation (PBE) on crystalline NiP4Br at its relaxed geometry.

It has space group F-43m (No. 216), with a = 8.084 Å, b = 8.084 Å, c = 8.084 Å, α = 90.00°, β = 90.00° and γ = 90.00°. The inequivalent atoms are Ni at (0.000, 0.000, 0.000), P at (0.097, 0.097, 0.597) and Br at (0.250, 0.250, 0.250).

For the electronic total energy, the calculation gives -4.20 eV per atom. Its raw formation energy is 0.652 eV/atom.

Entry 11:
VASP calculation (PBE) on crystalline Ca4In5Au2 at its relaxed geometry.

It has space group P2/m (No. 10), with a = 7.859 Å, b = 3.657 Å, c = 10.156 Å, α = 90.00°, β = 93.89° and γ = 90.00°. The inequivalent atoms are Ca at (0.170, 0.000, 0.372), Ca at (0.247, 0.000, 0.946), In at (0.189, 0.500, 0.659), In at (0.445, 0.500, 0.195), In at (0.500, 0.500, 0.500) and Au at (0.065, 0.500, 0.138).

For the electronic total energy, the calculation gives -3.09 eV per atom. The formation energy is -0.52 eV per atom.

Entry 12:
VASP calculation (PBE) on crystalline PmThCCl at its relaxed geometry.

It has space group R3m (No. 160, hexagonal axes), with a = 3.7140 Å, b = 3.7140 Å, c = 21.9888 Å, α = 90.00°, β = 90.00° and γ = 120.00°. The inequivalent atoms are Pm at (0.0000, 0.0000, 0.0000), Th at (0.0000, 0.0000, 0.2069), C at (0.0000, 0.0000, 0.6007) and Cl at (0.0000, 0.0000, 0.7660).

For the electronic total energy, the calculation gives -6.80 eV per atom. Its raw formation energy is -0.994 eV/atom.

Entry 13:
VASP calculation (PBE) on crystalline RbIrIO2 at its relaxed geometry.

It has space group P4/mmm (No. 123), with a = 4.270 Å, b = 4.270 Å, c = 5.576 Å, α = 90.00°, β = 90.00° and γ = 90.00°. The inequivalent atoms are Rb at (0.000, 0.000, 0.000), Ir at (0.500, 0.500, 0.500), I at (0.500, 0.500, 0.000) and O at (0.000, 0.500, 0.500).

For the electronic total energy, the calculation gives -4.44 eV per atom. As for the polymorph energy (0 for the lowest one): 0.000 eV/atom. Its raw formation energy is -0.176 eV/atom.

Entry 14:
VASP calculation (PBE) on crystalline Pm2DyHg at its relaxed geometry.

It has space group Fm-3m (No. 225), with a = 7.773 Å, b = 7.773 Å, c = 7.773 Å, α = 90.00°, β = 90.00° and γ = 90.00°. The inequivalent atoms are Pm at (0.250, 0.250, 0.250), Dy at (0.000, 0.000, 0.000) and Hg at (0.000, 0.000, 0.500).

For the electronic total energy, the calculation gives -3.67 eV per atom. The formation energy is -0.07 eV per atom. As for the polymorph energy (0 for the lowest one): 0.157 eV/atom.

Entry 15:
VASP calculation (PBE) on crystalline NaLi2NbBr at its relaxed geometry.

It has space group P4/mmm (No. 123), with a = 4.971 Å, b = 4.971 Å, c = 5.711 Å, α = 90.00°, β = 90.00° and γ = 90.00°. The inequivalent atoms are Na at (0.000, 0.000, 0.000), Li at (0.000, 0.500, 0.000), Nb at (0.000, 0.000, 0.500) and Br at (0.500, 0.500, 0.500).

For the electronic total energy, the calculation gives -2.43 eV per atom. Its raw formation energy is 0.953 eV/atom.

Entry 16:
VASP calculation (PBE) on crystalline CaSm2HoAs4 at its relaxed geometry.

It has space group P2/m (No. 10), with a = 7.246 Å, b = 4.189 Å, c = 7.291 Å, α = 90.00°, β = 109.46° and γ = 90.00°. The inequivalent atoms are Ca at (0.000, 0.000, 0.000), Sm at (0.500, 0.000, 0.500), Sm at (0.500, 0.500, 0.000), Ho at (0.000, 0.500, 0.500), As at (0.246, 0.000, 0.744) and As at (0.250, 0.500, 0.256).

For the electronic total energy, the calculation gives -5.69 eV per atom. The formation energy is -1.36 eV per atom.

Entry 17:
VASP calculation (PBE) on crystalline Pm5Cd2Ir2Ru at its relaxed geometry.

It has space group P4/mbm (No. 127), with a = 11.855 Å, b = 11.855 Å, c = 3.664 Å, α = 90.00°, β = 90.00° and γ = 90.00°. The inequivalent atoms are Pm at (0.000, 0.500, 0.000), Pm at (0.068, 0.195, 0.000), Cd at (0.181, 0.681, 0.500), Ir at (0.135, 0.365, 0.500) and Ru at (0.000, 0.000, 0.500).

For the electronic total energy, the calculation gives -5.64 eV per atom. The formation energy is -0.38 eV per atom.

Entry 18:
VASP calculation (PBE) on crystalline Co2Ru2Pb at its relaxed geometry.

It has space group P4/mbm (No. 127), with a = 7.216 Å, b = 7.216 Å, c = 2.894 Å, α = 90.00°, β = 90.00° and γ = 90.00°. The inequivalent atoms are Co at (0.125, 0.375, 0.000), Ru at (0.162, 0.662, 0.500) and Pb at (0.000, 0.000, 0.000).

For the electronic total energy, the calculation gives -6.77 eV per atom. The formation energy is 0.52 eV per atom.

Entry 19:
VASP calculation (PBE) on crystalline LiPm2Tl2 at its relaxed geometry.

It has space group Ibam (No. 72), with a = 6.725 Å, b = 13.178 Å, c = 6.460 Å, α = 90.00°, β = 90.00° and γ = 90.00°. The inequivalent atoms are Li at (0.000, 0.000, 0.250), Pm at (0.206, 0.353, 0.000) and Tl at (0.229, 0.112, 0.000).

For the electronic total energy, the calculation gives -3.41 eV per atom. The formation energy is -0.18 eV per atom. As for the polymorph energy (0 for the lowest one): 0.096 eV/atom.

Entry 20:
VASP calculation (PBE) on crystalline TlZn2AgI6 at its relaxed geometry.

It has space group C2/c (No. 15), with a = 15.244 Å, b = 14.951 Å, c = 7.992 Å, α = 90.00°, β = 109.44° and γ = 90.00°. The inequivalent atoms are Tl at (0.000, 0.121, 0.250), Zn at (0.195, 0.429, 0.208), Ag at (0.000, 0.232, 0.750), I at (0.122, 0.075, 0.691), I at (0.130, 0.269, 0.080) and I at (0.131, 0.438, 0.484).

For the electronic total energy, the calculation gives -2.21 eV per atom. Its raw formation energy is -0.501 eV/atom.

Entry 21:
VASP calculation (PBE) on crystalline TiBe2Br at its relaxed geometry.

It has space group I-42d (No. 122), with a = 6.963 Å, b = 6.963 Å, c = 4.945 Å, α = 90.00°, β = 90.00° and γ = 90.00°. The inequivalent atoms are Ti at (0.000, 0.000, 0.000), Be at (0.234, 0.250, 0.625) and Br at (0.000, 0.000, 0.500).

For the electronic total energy, the calculation gives -3.63 eV per atom. As for the polymorph energy (0 for the lowest one): 0.000 eV/atom. Its raw formation energy is 0.627 eV/atom.

Entry 22:
VASP calculation (PBE) on crystalline RuPt at its relaxed geometry.

It has space group Pm-3n (No. 223), with a = 6.892 Å, b = 6.892 Å, c = 6.892 Å, α = 90.00°, β = 90.00° and γ = 90.00°. The inequivalent atoms are Ru at (0.000, 0.250, 0.500) and Pt at (0.000, 0.500, 0.250).

For the electronic total energy, the calculation gives -6.39 eV per atom. The formation energy is 1.27 eV per atom.

Entry 23:
VASP calculation (PBE) on crystalline PmHo2PuP4 at its relaxed geometry.

It has space group P2/m (No. 10), with a = 6.955 Å, b = 4.032 Å, c = 6.967 Å, α = 90.00°, β = 109.51° and γ = 90.00°. The inequivalent atoms are Pm at (0.000, 0.000, 0.000), Ho at (0.500, 0.000, 0.500), Ho at (0.500, 0.500, 0.000), Pu at (0.000, 0.500, 0.500), P at (0.251, 0.000, 0.745) and P at (0.255, 0.500, 0.257).

For the electronic total energy, the calculation gives -7.71 eV per atom. The formation energy is -1.47 eV per atom.